(1)
This record from Alexandria describes Al3Si5Au12 after structural relaxation. The functional is PBE.

Computed properties:
- Total magnetic moment: 0.0 Bohr magnetons per cell
- Formation energy (no corrections): -12 meV/atom
- Theoretical density: 10.54 Mg/m³

a = 12.8372 Å, b = 12.8372 Å, c = 12.8372 Å
α = 109.47°, β = 109.47°, γ = 109.47°
Fractional coordinates of all 80 atoms:
1 Au 0.5920 0.8676 0.4230
2 Au 0.4446 0.7756 0.8676
3 Au 0.6324 0.0554 0.2244
4 Au 0.1690 0.0770 0.9446
5 Au 0.5554 0.3310 0.9230
6 Au 0.9446 0.5770 0.1690
7 Au 0.4080 0.2756 0.3310
8 Au 0.4080 0.1324 0.5770
9 Au 0.3310 0.7756 0.4080
10 Au 0.0770 0.1690 0.4446
11 Au 0.3310 0.5554 0.4230
12 Au 0.9080 0.0770 0.6324
13 Au 0.2244 0.6690 0.0920
14 Au 0.0554 0.6324 0.7244
15 Au 0.8310 0.9080 0.2756
16 Au 0.5920 0.7244 0.6690
17 Au 0.0920 0.1690 0.2244
18 Au 0.9080 0.8310 0.7756
19 Au 0.4446 0.6690 0.0770
20 Au 0.8676 0.2756 0.4446
21 Au 0.7756 0.4446 0.3676
22 Au 0.3676 0.9446 0.7756
23 Au 0.2756 0.4080 0.8310
24 Au 0.9230 0.0920 0.8676
25 Au 0.1324 0.4080 0.0770
26 Au 0.0554 0.4230 0.8310
27 Au 0.0770 0.9080 0.1324
28 Au 0.9230 0.8310 0.5554
29 Au 0.7244 0.5920 0.1690
30 Au 0.6324 0.5770 0.9080
31 Au 0.6690 0.4446 0.5770
32 Au 0.1690 0.0920 0.7244
33 Au 0.8310 0.9230 0.0554
34 Au 0.2244 0.5554 0.6324
35 Au 0.8676 0.5920 0.9230
36 Au 0.7756 0.3310 0.9080
37 Au 0.1324 0.7244 0.5554
38 Au 0.0920 0.9230 0.3676
39 Au 0.4230 0.3676 0.5920
40 Au 0.5554 0.2244 0.1324
41 Au 0.3676 0.4230 0.0920
42 Au 0.5770 0.6324 0.4080
43 Au 0.6690 0.2244 0.5920
44 Au 0.4230 0.0554 0.3310
45 Au 0.5770 0.9446 0.6690
46 Au 0.9446 0.3676 0.2756
47 Au 0.7244 0.1324 0.0554
48 Au 0.2756 0.8676 0.9446
49 Si 0.1250 0.3750 0.2500
50 Si 0.0000 0.0000 0.5000
51 Si 0.0000 0.5000 0.0000
52 Si 0.8750 0.2500 0.6250
53 Si 0.5000 0.0000 0.5000
54 Si 0.3750 0.1250 0.7500
55 Si 0.5000 0.5000 0.5000
56 Si 0.8750 0.6250 0.7500
57 Si 0.7500 0.6250 0.3750
58 Si 0.5000 0.0000 0.0000
59 Si 0.2500 0.8750 0.1250
60 Si 0.6250 0.8750 0.2500
61 Si 0.0000 0.0000 0.0000
62 Si 0.5000 0.5000 0.0000
63 Si 0.1250 0.7500 0.3750
64 Si 0.2500 0.3750 0.6250
65 Si 0.3750 0.2500 0.1250
66 Si 0.0000 0.5000 0.5000
67 Si 0.7500 0.1250 0.8750
68 Si 0.6250 0.7500 0.8750
69 Al 0.1250 0.8750 0.7500
70 Al 0.7500 0.8750 0.6250
71 Al 0.3750 0.6250 0.2500
72 Al 0.2500 0.1250 0.3750
73 Al 0.8750 0.1250 0.2500
74 Al 0.2500 0.6250 0.8750
75 Al 0.1250 0.2500 0.8750
76 Al 0.8750 0.7500 0.1250
77 Al 0.3750 0.7500 0.6250
78 Al 0.6250 0.2500 0.3750
79 Al 0.6250 0.3750 0.7500
80 Al 0.7500 0.3750 0.1250


(2)
This record from Alexandria describes Cs5BiF2 after structural relaxation. The functional is PBE.

Computed properties:
- Total magnetic moment: 0.0 Bohr magnetons per cell
- Formation energy (no corrections): -1463 meV/atom
- Theoretical density: 4.01 Mg/m³

a = 6.1870 Å, b = 7.5824 Å, c = 17.6390 Å
α = 90.00°, β = 90.00°, γ = 114.08°
Fractional coordinates of all 16 atoms:
1 F 0.1422 0.2844 0.5113
2 F 0.1422 0.2844 0.9887
3 F 0.8578 0.7156 0.0113
4 F 0.8578 0.7156 0.4887
5 Cs 0.7393 0.4786 0.2500
6 Cs 0.9839 0.9679 0.6249
7 Cs 0.3389 0.6778 0.0359
8 Cs 0.6611 0.3222 0.9641
9 Cs 0.6611 0.3222 0.5359
10 Cs 0.2607 0.5214 0.7500
11 Cs 0.0161 0.0321 0.1249
12 Cs 0.3389 0.6778 0.4641
13 Cs 0.9839 0.9679 0.8751
14 Cs 0.0161 0.0321 0.3751
15 Bi 0.4293 0.8586 0.2500
16 Bi 0.5707 0.1414 0.7500


(3)
This record from Alexandria describes ZnOsS2O after structural relaxation. The functional is PBE.

Computed properties:
- Total magnetic moment: 0.0 Bohr magnetons per cell
- Formation energy (no corrections): -49 meV/atom
- Theoretical density: 6.52 Mg/m³

a = 4.8275 Å, b = 3.6692 Å, c = 4.8275 Å
α = 90.00°, β = 90.00°, γ = 90.00°
Fractional coordinates of all 5 atoms:
1 O 0.0000 0.5000 0.0000
2 S 0.0000 0.0000 0.5000
3 S 0.5000 0.0000 0.0000
4 Zn 0.5000 0.5000 0.5000
5 Os 0.0000 0.0000 0.0000


(4)
This record from Alexandria describes TbDyCu after structural relaxation. The functional is PBE.

Computed properties:
- ΔE to the lowest computed polymorph: 0 meV/atom
- Total magnetic moment: 0.0 Bohr magnetons per cell
- Theoretical density: 8.65 Mg/m³
- ΔH_f (0 K): -159 meV per atom

a = 4.9146 Å, b = 8.7332 Å, c = 6.8878 Å
α = 90.00°, β = 90.00°, γ = 90.00°
Fractional coordinates of all 12 atoms:
1 Cu 0.2500 0.4010 0.7599
2 Cu 0.7500 0.9010 0.7401
3 Cu 0.7500 0.5990 0.2401
4 Cu 0.2500 0.0990 0.2599
5 Tb 0.7500 0.3256 0.0136
6 Tb 0.2500 0.6744 0.9864
7 Tb 0.2500 0.8256 0.4864
8 Tb 0.7500 0.1744 0.5136
9 Dy 0.2500 0.0851 0.8565
10 Dy 0.2500 0.4149 0.3565
11 Dy 0.7500 0.9149 0.1435
12 Dy 0.7500 0.5851 0.6435


(5)
This record from Alexandria describes PmHo4In2 after structural relaxation. The functional is PBE.

Computed properties:
- Total magnetic moment: 0.0 Bohr magnetons per cell
- Theoretical density: 7.33 Mg/m³
- ΔH_f (0 K): 55 meV per atom

a = 5.0918 Å, b = 5.0918 Å, c = 10.8360 Å
α = 76.41°, β = 76.41°, γ = 60.00°
Fractional coordinates of all 7 atoms:
1 Ho 0.8929 0.8929 0.3214
2 Ho 0.7031 0.7031 0.8906
3 Ho 0.1071 0.1071 0.6786
4 Ho 0.2969 0.2969 0.1094
5 In 0.6009 0.6009 0.1974
6 In 0.3991 0.3991 0.8026
7 Pm 0.5000 0.5000 0.5000


(6)
This record from Alexandria describes Dy6Ho3Tm after structural relaxation. The functional is PBE.

Computed properties:
- ΔE to the lowest computed polymorph: 24 meV/atom
- Total magnetic moment: 0.0 Bohr magnetons per cell
- Theoretical density: 8.62 Mg/m³
- ΔH_f (0 K): 149 meV per atom

a = 6.1440 Å, b = 10.8856 Å, c = 10.8856 Å
α = 119.85°, β = 90.00°, γ = 90.00°
Fractional coordinates of all 20 atoms:
1 Ho 0.4581 0.2786 0.0596
2 Ho 0.5709 0.6102 0.3898
3 Ho 0.9581 0.7214 0.9404
4 Ho 0.4581 0.9404 0.7214
5 Ho 0.0709 0.3898 0.6102
6 Ho 0.9581 0.0596 0.2786
7 Dy 0.3591 0.5348 0.9549
8 Dy 0.3591 0.0451 0.4652
9 Dy 0.5369 0.6186 0.7110
10 Dy 0.8591 0.4652 0.0451
11 Dy 0.0369 0.7110 0.6186
12 Dy 0.9198 0.0469 0.9531
13 Dy 0.4198 0.9531 0.0469
14 Dy 0.0369 0.3814 0.2890
15 Dy 0.1446 0.7190 0.2810
16 Dy 0.8591 0.9549 0.5348
17 Dy 0.5369 0.2890 0.3814
18 Dy 0.6446 0.2810 0.7190
19 Tm 0.1418 0.2062 0.7938
20 Tm 0.6418 0.7938 0.2062


(7)
This record from Alexandria describes CsHf3P after structural relaxation. The functional is PBE.

Computed properties:
- ΔE to the lowest computed polymorph: 2020 meV/atom
- Total magnetic moment: 0.0 Bohr magnetons per cell
- Theoretical density: 8.18 Mg/m³
- ΔH_f (0 K): 2566 meV per atom

a = 5.2167 Å, b = 5.2167 Å, c = 5.2167 Å
α = 90.00°, β = 90.00°, γ = 90.00°
Fractional coordinates of all 5 atoms:
1 P 0.5000 0.5000 0.5000
2 Hf 0.5000 0.0000 0.0000
3 Hf 0.0000 0.0000 0.5000
4 Hf 0.0000 0.5000 0.0000
5 Cs 0.0000 0.0000 0.0000


(8)
This record from Alexandria describes Li2Mg6Pd3 after structural relaxation. The functional is PBE.

Computed properties:
- Total magnetic moment: 0.0 Bohr magnetons per cell
- Theoretical density: 3.90 Mg/m³
- ΔH_f (0 K): -174 meV per atom

a = 3.9774 Å, b = 3.9774 Å, c = 13.1881 Å
α = 98.67°, β = 98.67°, γ = 90.00°
Fractional coordinates of all 11 atoms:
1 Mg 0.7100 0.7100 0.4200
2 Mg 0.2900 0.2900 0.5800
3 Mg 0.8886 0.3886 0.7773
4 Mg 0.3886 0.8886 0.7773
5 Mg 0.1114 0.6114 0.2227
6 Mg 0.6114 0.1114 0.2227
7 Pd 0.0000 0.0000 0.0000
8 Pd 0.1846 0.1846 0.3692
9 Pd 0.8154 0.8154 0.6308
10 Li 0.4613 0.4613 0.9225
11 Li 0.5387 0.5387 0.0775


(9)
This record from Alexandria describes SrAs3Ir3 after structural relaxation. The functional is PBE.

Computed properties:
- Total magnetic moment: 0.0 Bohr magnetons per cell
- Theoretical density: 9.33 Mg/m³
- ΔH_f (0 K): -276 meV per atom

a = 6.8150 Å, b = 6.8150 Å, c = 6.8150 Å
α = 90.00°, β = 90.00°, γ = 90.00°
Fractional coordinates of all 14 atoms:
1 Ir 0.2500 0.0000 0.5000
2 Ir 0.5000 0.2500 0.0000
3 Ir 0.7500 0.0000 0.5000
4 Ir 0.5000 0.7500 0.0000
5 Ir 0.0000 0.5000 0.7500
6 Ir 0.0000 0.5000 0.2500
7 As 0.5000 0.0000 0.7500
8 As 0.0000 0.2500 0.5000
9 As 0.5000 0.0000 0.2500
10 As 0.7500 0.5000 0.0000
11 As 0.2500 0.5000 0.0000
12 As 0.0000 0.7500 0.5000
13 Sr 0.5000 0.5000 0.5000
14 Sr 0.0000 0.0000 0.0000


(10)
This record from Alexandria describes CuHPb2 after structural relaxation. The functional is PBE.

Computed properties:
- ΔE to the lowest computed polymorph: 30 meV/atom
- Total magnetic moment: 0.0 Bohr magnetons per cell
- Theoretical density: 8.62 Mg/m³

a = 5.1821 Å, b = 5.1821 Å, c = 7.7908 Å
α = 70.57°, β = 70.57°, γ = 90.00°
Fractional coordinates of all 8 atoms:
1 H 0.2500 0.7500 0.5000
2 H 0.5000 0.5000 0.0000
3 Pb 0.5662 0.1250 0.2500
4 Pb 0.8750 0.8162 0.7500
5 Pb 0.1838 0.6250 0.2500
6 Pb 0.3750 0.4338 0.7500
7 Cu 0.0000 0.0000 0.0000
8 Cu 0.7500 0.2500 0.5000


(11)
This record from Alexandria describes BaZrCr2 after structural relaxation. The functional is PBE.

Computed properties:
- ΔE to the lowest computed polymorph: 61 meV/atom
- Total magnetic moment: 1.0 Bohr magnetons per cell
- Theoretical density: 5.42 Mg/m³
- ΔH_f (0 K): 626 meV per atom

a = 4.0278 Å, b = 4.0278 Å, c = 7.6082 Å
α = 74.69°, β = 74.69°, γ = 60.01°
Site moments in Bohr magnetons follow the coordinates.
Fractional coordinates of all 4 atoms:
1 Ba 0.7327 0.7327 0.8010  0.01
2 Zr 0.5426 0.5426 0.3729  -0.08
3 Cr 0.9545 0.9545 0.1367  1.89
4 Cr 0.2703 0.2703 0.1894  -0.98


(12)
This record from Alexandria describes PmRhSe after structural relaxation. The functional is PBE.

Computed properties:
- ΔE to the lowest computed polymorph: 0 meV/atom
- Total magnetic moment: 0.0 Bohr magnetons per cell
- Formation energy (no corrections): -1190 meV/atom
- Theoretical density: 8.75 Mg/m³

a = 3.7942 Å, b = 4.3438 Å, c = 4.3438 Å
α = 120.00°, β = 90.00°, γ = 90.00°
Fractional coordinates of all 3 atoms:
1 Se 0.1745 0.0000 0.0000
2 Rh 0.1574 0.3333 0.6667
3 Pm 0.6681 0.6667 0.3333


(13)
This record from Alexandria describes Y2Ga5Ir after structural relaxation. The functional is PBE.

Computed properties:
- Total magnetic moment: 0.0 Bohr magnetons per cell
- Theoretical density: 7.48 Mg/m³
- ΔH_f (0 K): -496 meV per atom

a = 6.0570 Å, b = 6.0570 Å, c = 6.0570 Å
α = 91.81°, β = 118.96°, γ = 118.96°
Fractional coordinates of all 8 atoms:
1 Ga 0.0000 0.2541 0.2541
2 Ga 0.4255 0.7128 0.7128
3 Ga 0.0000 0.7128 0.2873
4 Ga 0.0000 0.2873 0.7128
5 Ga 0.5745 0.2873 0.2873
6 Y 0.5000 0.2540 0.7540
7 Y 0.5000 0.7540 0.2540
8 Ir 0.0000 0.9598 0.9598


(14)
This record from Alexandria describes Pr3Dy8Er3 after structural relaxation. The functional is PBE.

Computed properties:
- Total magnetic moment: 0.0 Bohr magnetons per cell
- Theoretical density: 8.03 Mg/m³
- ΔH_f (0 K): 106 meV per atom

a = 5.6606 Å, b = 9.6853 Å, c = 9.6854 Å
α = 101.97°, β = 73.01°, γ = 73.01°
Fractional coordinates of all 14 atoms:
1 Er 0.7956 0.2045 0.2045
2 Er 0.5000 0.5000 0.5000
3 Er 0.2044 0.7955 0.7955
4 Pr 0.5000 0.0000 0.0000
5 Pr 0.0000 0.1829 0.8171
6 Pr 0.0000 0.8171 0.1829
7 Dy 0.3394 0.8808 0.4408
8 Dy 0.1583 0.2393 0.4436
9 Dy 0.3394 0.4408 0.8808
10 Dy 0.1583 0.4436 0.2393
11 Dy 0.6606 0.5592 0.1192
12 Dy 0.8417 0.7607 0.5564
13 Dy 0.6606 0.1192 0.5592
14 Dy 0.8417 0.5564 0.7607


(15)
This record from Alexandria describes Ti5In4Ga after structural relaxation. The functional is PBE.

Computed properties:
- ΔE to the lowest computed polymorph: 220 meV/atom
- Total magnetic moment: 2.9 Bohr magnetons per cell
- Theoretical density: 6.25 Mg/m³
- ΔH_f (0 K): 9 meV per atom

a = 4.7130 Å, b = 6.9920 Å, c = 6.9920 Å
α = 83.48°, β = 70.30°, γ = 70.30°
Site moments in Bohr magnetons follow the coordinates.
Fractional coordinates of all 10 atoms:
1 Ti 0.1617 0.6259 0.0000  0.64
2 Ti 0.7876 0.3741 0.0000  0.64
3 Ti 0.1617 0.0000 0.6259  0.64
4 Ti 0.6121 0.0000 0.0000  -0.14
5 Ti 0.7876 0.0000 0.3741  0.64
6 In 0.4720 0.3070 0.6930  -0.02
7 In 0.4720 0.6930 0.3070  -0.02
8 In 0.1650 0.3070 0.3070  -0.02
9 In 0.7790 0.6930 0.6930  -0.02
10 Ga 0.1116 0.0000 0.0000  -0.01


(16)
This record from Alexandria describes Al3Si2Ni3 after structural relaxation. The functional is PBE.

Computed properties:
- ΔE to the lowest computed polymorph: 36 meV/atom
- Total magnetic moment: 0.0 Bohr magnetons per cell
- Formation energy (no corrections): -345 meV/atom
- Theoretical density: 4.83 Mg/m³

a = 7.8437 Å, b = 6.5041 Å, c = 4.9118 Å
α = 73.36°, β = 72.52°, γ = 66.67°
Fractional coordinates of all 16 atoms:
1 Ni 0.0357 0.9909 0.7366
2 Ni 0.2722 0.6837 0.0693
3 Ni 0.9643 0.0091 0.2634
4 Ni 0.6081 0.9821 0.2316
5 Ni 0.7278 0.3163 0.9307
6 Ni 0.3919 0.0179 0.7684
7 Si 0.4067 0.3239 0.9229
8 Si 0.5933 0.6761 0.0771
9 Si 0.8892 0.3300 0.4376
10 Si 0.1108 0.6700 0.5624
11 Al 0.0627 0.3065 0.8660
12 Al 0.2759 0.0080 0.3098
13 Al 0.4476 0.3553 0.3887
14 Al 0.9373 0.6935 0.1340
15 Al 0.5524 0.6447 0.6113
16 Al 0.7241 0.9920 0.6902


(17)
This record from Alexandria describes DyLuH after structural relaxation. The functional is PBE.

Computed properties:
- ΔE to the lowest computed polymorph: 146 meV/atom
- Total magnetic moment: 0.0 Bohr magnetons per cell
- Theoretical density: 8.66 Mg/m³

a = 3.2990 Å, b = 3.2990 Å, c = 6.4007 Å
α = 104.93°, β = 104.93°, γ = 90.00°
Fractional coordinates of all 3 atoms:
1 H 0.2205 0.2205 0.4410
2 Lu 0.7438 0.7438 0.4875
3 Dy 0.0357 0.0357 0.0715


(18)
This record from Alexandria describes BaCoRh after structural relaxation. The functional is PBE.

Computed properties:
- ΔE to the lowest computed polymorph: 595 meV/atom
- Total magnetic moment: 2.0 Bohr magnetons per cell
- Theoretical density: 7.07 Mg/m³
- ΔH_f (0 K): 712 meV per atom

a = 4.6320 Å, b = 4.6320 Å, c = 4.6320 Å
α = 60.00°, β = 60.00°, γ = 60.00°
Site moments in Bohr magnetons follow the coordinates.
Fractional coordinates of all 3 atoms:
1 Rh 0.0000 0.0000 0.0000  0.55
2 Ba 0.5000 0.5000 0.5000  -0.05
3 Co 0.7500 0.7500 0.7500  1.59


(19)
This record from Alexandria describes BaMgCd2 after structural relaxation. The functional is PBE.

Computed properties:
- Total magnetic moment: 0.0 Bohr magnetons per cell
- Theoretical density: 5.47 Mg/m³
- ΔH_f (0 K): -176 meV per atom

a = 3.9640 Å, b = 3.6475 Å, c = 8.8889 Å
α = 65.92°, β = 90.00°, γ = 90.00°
Fractional coordinates of all 4 atoms:
1 Cd 0.0000 0.9453 0.0541
2 Cd 0.0000 0.5547 0.4459
3 Mg 0.5000 0.2500 0.2500
4 Ba 0.5000 0.7500 0.7500